Entry 1:
The following is a PBE calculation of crystalline ScCdAgSn at its relaxed geometry, from Alexandria.

Cell and atoms, written as CIF:
```
data_ScCdAgSn
_chemical_formula_sum 'Sc4 Cd4 Ag4 Sn4'
_symmetry_space_group_name_H-M 'F -4 3 m'
_symmetry_Int_Tables_number 216
_symmetry_space_group_name_Hall 'F -4 2 3'
_cell_length_a 7.0114
_cell_length_b 7.0114
_cell_length_c 7.0114
_cell_angle_alpha 90.00
_cell_angle_beta 90.00
_cell_angle_gamma 90.00
loop_
_atom_site_label
_atom_site_type_symbol
_atom_site_fract_x
_atom_site_fract_y
_atom_site_fract_z
Sc1 Sc 0.0000 0.0000 0.0000
Cd1 Cd 0.0000 0.0000 0.5000
Ag1 Ag 0.2500 0.2500 0.2500
Sn1 Sn 0.2500 0.2500 0.7500
```

Results
calculated total energy	-3.729	eV/atom
formation energy from the elements	-0.204	eV/atom


Entry 2:
The following is a PBE calculation of crystalline SrScCdAg at its relaxed geometry, from Alexandria.

Cell and atoms, written as CIF:
```
data_SrScCdAg
_chemical_formula_sum 'Sr4 Sc4 Cd4 Ag4'
_symmetry_space_group_name_H-M 'F -4 3 m'
_symmetry_Int_Tables_number 216
_symmetry_space_group_name_Hall 'F -4 2 3'
_cell_length_a 7.4661
_cell_length_b 7.4661
_cell_length_c 7.4661
_cell_angle_alpha 90.00
_cell_angle_beta 90.00
_cell_angle_gamma 90.00
loop_
_atom_site_label
_atom_site_type_symbol
_atom_site_fract_x
_atom_site_fract_y
_atom_site_fract_z
Sr1 Sr 0.0000 0.0000 0.0000
Sc1 Sc 0.0000 0.0000 0.5000
Cd1 Cd 0.2500 0.2500 0.2500
Ag1 Ag 0.2500 0.2500 0.7500
```

Results
calculated total energy	-3.080	eV/atom
formation energy from the elements	-0.135	eV/atom